{
  "formula": "DyEr3Zr",
  "functional": "GGA-PBE",
  "state": "relaxed",
  "lattice": [[3.433, 0.000, 0.000], [-1.716, 8.965, 0.000], [-0.008, -2.681, 9.394]],
  "species": ["Dy", "Dy", "Er", "Er", "Er", "Er", "Er", "Er", "Zr", "Zr"],
  "frac_coords": [[0.104, 0.207, 0.059], [0.896, 0.793, 0.941], [0.106, 0.213, 0.546], [0.297, 0.593, 0.158], [0.498, 0.995, 0.749], [0.502, 0.005, 0.251], [0.703, 0.407, 0.842], [0.894, 0.787, 0.454], [0.295, 0.591, 0.638], [0.705, 0.409, 0.362]],
  "m_tot_mub_per_atom": 0.000,
  "spacegroup": "P-1, No. 2",
  "de_polymorph_mev_per_atom": 0,
  "formation_energy_kcal_per_mol_atoms": 1.37
}